(1)
CsRb3Tl: relaxed, GGA-PBEsol.

* ΔH_f (0 K): 45.1 meV per atom
* E: -1.285 eV/atom

Cell lengths 7.211, 7.211, 7.211 Å; angles 90.00, 90.00, 90.00 degrees
Space group Pm-3m (No. 221)
Asymmetric unit:
Cs: 0.000 0.000 0.000 [1 per cell]
Rb: 0.000 0.500 0.500 [3 per cell]
Tl: 0.500 0.500 0.500 [1 per cell]

***

(2)
Ca2SbRu: relaxed, GGA-PBEsol.

* formation energy (no corrections): -212 meV/atom
* E: -4.961 eV/atom

Cell lengths 3.391, 3.391, 8.659 Å; angles 90.00, 90.00, 90.00 degrees
Space group P4mm (No. 99)
Asymmetric unit:
Ca: 0.000 0.000 0.000 [1 per cell]
Ca: 0.500 0.500 0.377 [1 per cell]
Sb: 0.500 0.500 0.747 [1 per cell]
Ru: 0.000 0.000 0.608 [1 per cell]

***

Question: Which of these has the highest E?
Answer: CsRb3Tl